# 1
DFT (meta-GGA SCAN) results for a PBEsol-optimized structure of CaFeAgW2.

Unit cell a=4.618 b=4.618 c=4.214 alpha=90.00 beta=90.00 gamma=90.00
Space group P4/mmm (No. 123)
Symmetry-distinct sites (fractional):
1 Ca 0.000 0.000 0.000 [1 per cell]
2 Fe 0.000 0.000 0.500 [1 per cell]
3 Ag 0.500 0.500 0.500 [1 per cell]
4 W 0.000 0.500 0.000 [2 per cell]

Output
**Theoretical density**: 10.56 g/cm3
**DFT total energy**: -2.6882 Ry per atom
**Size of the total moment**: 1.627 μB/f.u.
**E_form**: 3132 meV per atom



# 2
DFT (meta-GGA SCAN) results for a PBEsol-optimized structure of RePPbS2.

Unit cell a=4.716 b=4.716 c=4.572 alpha=90.00 beta=90.00 gamma=90.00
Space group P4/mmm (No. 123)
Symmetry-distinct sites (fractional):
1 Re 0.000 0.000 0.000 [1 per cell]
2 P 0.000 0.000 0.500 [1 per cell]
3 Pb 0.500 0.500 0.500 [1 per cell]
4 S 0.000 0.500 0.000 [2 per cell]

Output
**Theoretical density**: 7.98 g/cm3
**DFT total energy**: -2.5739 Ry per atom
**Formation energy from raw total energies**: 1.4 eV/f.u.
**Size of the total moment**: 0.005 μB/f.u.



# 3
DFT (meta-GGA SCAN) results for a PBEsol-optimized structure of SrFeS3.

Unit cell a=4.574 b=4.574 c=4.574 alpha=90.00 beta=90.00 gamma=90.00
Space group Pm-3m (No. 221)
Symmetry-distinct sites (fractional):
1 Sr 0.000 0.000 0.000 [1 per cell]
2 Fe 0.500 0.500 0.500 [1 per cell]
3 S 0.000 0.500 0.500 [3 per cell]

Output
**Theoretical density**: 4.16 g/cm3
**DFT total energy**: -1.0914 Ry per atom
**Formation energy from raw total energies**: -5.0 eV/f.u.
**Size of the total moment**: 3.969 μB/f.u.



# 4
DFT (meta-GGA SCAN) results for a PBEsol-optimized structure of NbNiAs2Se.

Unit cell a=4.935 b=4.935 c=4.868 alpha=90.00 beta=90.00 gamma=90.00
Space group P4/mmm (No. 123)
Symmetry-distinct sites (fractional):
1 Nb 0.000 0.000 0.000 [1 per cell]
2 Ni 0.500 0.500 0.500 [1 per cell]
3 As 0.000 0.500 0.000 [2 per cell]
4 Se 0.000 0.000 0.500 [1 per cell]

Output
**Theoretical density**: 5.33 g/cm3
**DFT total energy**: -1.5621 Ry per atom
**Formation energy from raw total energies**: 3.5 eV/f.u.
**Size of the total moment**: 1.504 μB/f.u.